(1)
Computed, not measured: crystalline PuMg4Pb2 at its relaxed geometry at the GGA-PBE level of DFT.

Unit cell a=6.034 b=6.034 c=11.325 alpha=90.00 beta=90.00 gamma=90.00
Space group I4/mmm (No. 139)
One atom of each set of equivalent atoms:
Pu1 0.000 0.000 0.000
Mg1 0.000 0.500 0.000
Mg2 0.000 0.500 0.250
Pb1 0.000 0.000 0.358

Uncorrected energy in Ry/atom: -0.2696
Crystal system: tetragonal
E_form in eV per atom: 0.350
Total moment in Bohr magnetons per cell: 12.900

(2)
Computed, not measured: crystalline PuMgPb3 at its relaxed geometry at the GGA-PBE level of DFT.

Unit cell a=5.932 b=6.693 c=7.716 alpha=75.80 beta=74.07 gamma=75.36
Space group P-1 (No. 2)
One atom of each set of equivalent atoms:
Pu1 0.199 0.310 0.110
Mg1 0.406 0.108 0.692
Pb1 0.000 0.000 0.500
Pb2 0.000 0.500 0.500
Pb3 0.207 0.817 0.085
Pb4 0.400 0.605 0.700

Uncorrected energy in Ry/atom: -0.4026
Crystal system: triclinic
E_form in eV per atom: -0.068
Total moment in Bohr magnetons per cell: 11.619